Fe2TeIr (GGA-PBE, optimized geometry); DOS at the Fermi energy = 4.361 states/eV/cell; energy relative to the elements, uncorrected = 494 meV per atom
1.0
-4.613 -5.807 -3.695
-2.848 -4.977 -5.981
-1.877 -7.013 -3.995
Ir Fe Te
1 2 1
Direct
0.250 0.250 0.250 Ir
0.503 0.503 0.503 Fe
0.997 0.997 0.997 Fe
0.750 0.750 0.750 Te